Below is TeH2IBr after structural relaxation, with properties calculated at the PBE level.

The space group is P4/mmm (No. 123) and the conventional cell measures 4.278, 4.278 and 6.288 Å, with angles of 90.00, 90.00 and 90.00 degrees. The distinct sites, in fractional coordinates, are Te at (0.000, 0.000, 0.000), H at (0.000, 0.500, 0.000), I at (0.500, 0.500, 0.500) and Br at (0.000, 0.000, 0.500).

For the density of states at the Fermi level, the calculation gives 0.52 states/eV per atom. The total DFT energy (no corrections) comes out at -2.17 eV per atom.

***

Below is AgBr after structural relaxation, with properties calculated at the PBE level.

The space group is Pbcm (No. 57) and the conventional cell measures 11.012, 7.597 and 7.861 Å, with angles of 90.00, 90.00 and 90.00 degrees. The distinct sites, in fractional coordinates, are Ag at (0.086, 0.048, 0.250), Ag at (0.322, 0.069, 0.750), Ag at (0.339, 0.750, 0.000), Br at (0.140, 0.703, 0.250), Br at (0.198, 0.250, 0.000) and Br at (0.439, 0.556, 0.750).

For the energy relative to the elements, uncorrected, the calculation gives -0.6 eV per formula unit. The total DFT energy (no corrections) comes out at -2.56 eV per atom.

***

Below is Ta3As5 after structural relaxation, with properties calculated at the PBE level.

The space group is P6_3/mcm (No. 193) and the conventional cell measures 8.0726, 8.0726 and 5.2096 Å, with angles of 90.00, 90.00 and 120.00 degrees. The distinct sites, in fractional coordinates, are Ta at (0.0000, 0.3820, 0.2500), As at (0.0000, 0.2675, 0.7500) and As at (0.3333, 0.6667, 0.0000).

The formation energy is -0.0470 eV/atom. For the density of states at the Fermi level, the calculation gives 0.79 states/eV per atom. The total DFT energy (no corrections) comes out at -7.40 eV per atom.

***

Below is LiInPb2I6 after structural relaxation, with properties calculated at the PBE level.

The space group is R3 (No. 146, hexagonal axes) and the conventional cell measures 8.1195, 8.1195 and 22.3759 Å, with angles of 90.00, 90.00 and 120.00 degrees. The distinct sites, in fractional coordinates, are Li at (0.0000, 0.0000, 0.0000), In at (0.0000, 0.0000, 0.5126), Pb at (0.0000, 0.0000, 0.3253), Pb at (0.0000, 0.0000, 0.8154), I at (0.0073, 0.3502, 0.7430) and I at (0.0205, 0.7165, 0.9178).

For the energy relative to the elements, uncorrected, the calculation gives -6.8 eV per formula unit. For the density of states at the Fermi level, the calculation gives 0.00 states/eV per atom. The total DFT energy (no corrections) comes out at -2.82 eV per atom.

***

Below is CaSc2P after structural relaxation, with properties calculated at the PBE level.

The space group is Cmmm (No. 65) and the conventional cell measures 4.186, 5.331 and 8.901 Å, with angles of 90.00, 90.00 and 90.00 degrees. The distinct sites, in fractional coordinates, are Ca at (0.000, 0.000, 0.000), Sc at (0.000, 0.500, 0.326) and P at (0.000, 0.000, 0.500).

The formation energy is -0.4742 eV/atom. For the density of states at the Fermi level, the calculation gives 1.37 states/eV per atom. The total DFT energy (no corrections) comes out at -5.49 eV per atom.

***

Below is CrCdFe2 after structural relaxation, with properties calculated at the PBE level.

The space group is R-3m (No. 166, hexagonal axes) and the conventional cell measures 2.6771, 2.6771 and 26.2534 Å, with angles of 90.00, 90.00 and 120.00 degrees. The distinct sites, in fractional coordinates, are Cr at (0.0000, 0.0000, 0.0000), Cd at (0.0000, 0.0000, 0.5000) and Fe at (0.0000, 0.0000, 0.2594).

The formation energy is 0.3909 eV/atom. For the density of states at the Fermi level, the calculation gives 1.03 states/eV per atom. The total DFT energy (no corrections) comes out at -6.48 eV per atom.

***

Below is Pr2Y3HoS6 after structural relaxation, with properties calculated at the PBE level.

The space group is C2/m (No. 12) and the conventional cell measures 17.331, 3.955 and 8.012 Å, with angles of 90.00, 103.59 and 90.00 degrees. The distinct sites, in fractional coordinates, are Pr at (0.168, 0.000, 0.336), Y at (0.000, 0.500, 0.500), Y at (0.169, 0.000, 0.833), Ho at (0.000, 0.500, 0.000), S at (0.004, 0.000, 0.755), S at (0.162, 0.500, 0.593) and S at (0.164, 0.500, 0.071).

For the energy relative to the elements, uncorrected, the calculation gives -24.0 eV per formula unit. For the density of states at the Fermi level, the calculation gives 0.44 states/eV per atom. The total DFT energy (no corrections) comes out at -6.86 eV per atom.

***

Below is Rb2NbReF6 after structural relaxation, with properties calculated at the PBE level.

The space group is Fm-3m (No. 225) and the conventional cell measures 8.738, 8.738 and 8.738 Å, with angles of 90.00, 90.00 and 90.00 degrees. The distinct sites, in fractional coordinates, are Rb at (0.250, 0.250, 0.250), Nb at (0.000, 0.000, 0.000), Re at (0.000, 0.000, 0.500) and F at (0.000, 0.000, 0.250).

For the energy relative to the elements, uncorrected, the calculation gives -17.7 eV per formula unit. For the density of states at the Fermi level, the calculation gives 0.59 states/eV per atom. The total DFT energy (no corrections) comes out at -5.34 eV per atom.